Record 1
# TlCdW2 | Alexandria | PBE | relaxed
data_TlCdW2
_symmetry_space_group_name_H-M 'I -4 m 2'
_symmetry_Int_Tables_number 119
_symmetry_space_group_name_Hall 'I -4 -2'
_cell_length_a 4.293
_cell_length_b 4.293
_cell_length_c 8.042
_cell_angle_alpha 90.00
_cell_angle_beta 90.00
_cell_angle_gamma 90.00
loop_
_atom_site_label
_atom_site_type_symbol
_atom_site_fract_x
_atom_site_fract_y
_atom_site_fract_z
Tl1 Tl 0.000 0.000 0.000
Cd1 Cd 0.000 0.500 0.250
W1 W 0.000 0.000 0.500
W2 W 0.000 0.500 0.750
# formation energy	94	kJ per mole of atoms
# magnetization	0.00	μB per formula unit
# E_tot	-0.2324	Ha/atom

=====

Record 2
# TlCdW2 | Alexandria | PBE | relaxed
data_TlCdW2
_symmetry_space_group_name_H-M 'C m m m'
_symmetry_Int_Tables_number 65
_symmetry_space_group_name_Hall '-C 2 2'
_cell_length_a 5.654
_cell_length_b 9.366
_cell_length_c 2.833
_cell_angle_alpha 90.00
_cell_angle_beta 90.00
_cell_angle_gamma 90.00
loop_
_atom_site_label
_atom_site_type_symbol
_atom_site_fract_x
_atom_site_fract_y
_atom_site_fract_z
Tl1 Tl 0.000 0.000 0.000
Cd1 Cd 0.000 0.500 0.000
W1 W 0.250 0.250 0.500
# formation energy	98	kJ per mole of atoms
# magnetization	0.01	μB per formula unit
# E_tot	-0.2308	Ha/atom

=====

Computed excess energy over the best structure of this formula in the dataset (eV per atom) in order:
0.436, 0.480